# 1
Compound: ZnGa4Pd2
Source: the Alexandria database
Functional: PBE
Structure: optimized geometry

a b c (Å): 6.6758 5.5033 6.9184
angles (deg): 90.00 114.99 90.00
Element x y z (fractional)
Ga1 0.0595 0.7500 0.8685
Ga2 0.9671 0.7500 0.4639
Ga3 0.5732 0.0069 0.2298
Ga4 0.4268 0.9931 0.7702
Ga5 0.0329 0.2500 0.5361
Ga6 0.9405 0.2500 0.1315
Ga7 0.5732 0.4931 0.2298
Ga8 0.4268 0.5069 0.7702
Pd1 0.6317 0.7500 0.5805
Pd2 0.7771 0.7500 0.0461
Pd3 0.2229 0.2500 0.9539
Pd4 0.3683 0.2500 0.4195
Zn1 0.7711 0.2500 0.7149
Zn2 0.2289 0.7500 0.2851

ΔH_f (0 K): -0.304 eV per atom
total magnetic moment: 0.000 μB per atom
uncorrected energy: -0.1359 hartree per atom
energy above the most stable polymorph in this dataset: 0.029 eV/atom
crystal system: monoclinic

# 2
Compound: ZrNb2Fe
Source: the Alexandria database
Functional: PBE
Structure: optimized geometry

a b c (Å): 3.1136 3.1136 7.2645
angles (deg): 90.00 90.00 90.00
Last column: magnetic moment on the atom in μB.
Element x y z (fractional)
Zr1 0.5000 0.5000 0.5000  -0.05
Nb1 0.0000 0.0000 0.2087  -0.21
Nb2 0.0000 0.0000 0.7913  -0.21
Fe1 0.5000 0.5000 0.0000  1.26

ΔH_f (0 K): 0.044 eV per atom
total magnetic moment: 0.176 μB per atom
uncorrected energy: -0.3397 hartree per atom
energy above the most stable polymorph in this dataset: 0.000 eV/atom
crystal system: tetragonal